w.
First-principles (GGA-PBE) data for a geometry-optimized Nd6DyAl structure, as listed in Alexandria via LeMat-Bulk.

Cell lengths 4.9879, 4.9879, 10.2497 Å; angles 90.00, 90.00, 90.00 degrees
Sites, in units of the cell vectors:
Nd 0.5000 0.5000 0.5000
Nd 0.5000 0.5000 0.0000
Nd 0.0000 0.5000 0.7384
Nd 0.0000 0.5000 0.2616
Nd 0.5000 0.0000 0.2616
Nd 0.5000 0.0000 0.7384
Dy 0.0000 0.0000 0.0000
Al 0.0000 0.0000 0.5000

Results
SG   No. 123
Crystal system   tetragonal

x.
First-principles (GGA-PBE) data for a geometry-optimized Nd6DyAl structure, as listed in Alexandria via LeMat-Bulk.

Cell lengths 6.8272, 9.1162, 6.6721 Å; angles 65.07, 84.94, 46.81 degrees
Sites, in units of the cell vectors:
Nd 0.8514 0.9109 0.6582
Nd 0.4208 0.3416 0.0893
Nd 0.8129 0.7507 0.2492
Nd 0.5792 0.6584 0.9107
Nd 0.1486 0.0891 0.3418
Nd 0.1871 0.2493 0.7508
Dy 0.5000 0.5000 0.5000
Al 0.0000 0.0000 0.0000

Results
SG   No. 12
Crystal system   monoclinic

Most stable: w

w.
First-principles (GGA-PBE) data for a geometry-optimized Nd3DyAl structure, as listed in Alexandria via LeMat-Bulk.

Cell lengths 5.2445, 9.5575, 5.8052 Å; angles 145.41, 90.00, 90.00 degrees
Sites, in units of the cell vectors:
Nd 0.5000 0.5036 0.0072
Nd 0.0000 0.9674 0.5649
Nd 0.0000 0.5975 0.5649
Al 0.0000 0.2533 0.5066
Dy 0.5000 0.0328 0.0656

Results
SG   No. 38
Crystal system   orthorhombic

x.
First-principles (GGA-PBE) data for a geometry-optimized Nd3DyAl structure, as listed in Alexandria via LeMat-Bulk.

Cell lengths 3.6812, 6.9197, 12.6044 Å; angles 84.36, 90.00, 74.58 degrees
Sites, in units of the cell vectors:
Nd 0.1428 0.7141 0.4462
Nd 0.6372 0.7243 0.9807
Nd 0.0363 0.9264 0.1956
Nd 0.3628 0.2757 0.0193
Nd 0.9637 0.0736 0.8044
Nd 0.8572 0.2859 0.5538
Dy 0.2167 0.5663 0.7455
Dy 0.7833 0.4337 0.2545
Al 0.5513 0.8973 0.6193
Al 0.4487 0.1027 0.3807

Results
SG   No. 12
Crystal system   monoclinic

Most stable: x

w.
First-principles (GGA-PBE) data for a geometry-optimized NdDy6Al2 structure, as listed in Alexandria via LeMat-Bulk.

Cell lengths 4.7799, 4.7799, 14.2372 Å; angles 99.66, 99.66, 90.00 degrees
Sites, in units of the cell vectors:
Dy 0.6448 0.6448 0.7928
Dy 0.8520 0.3552 0.2072
Dy 0.7500 0.2500 0.5000
Dy 0.3552 0.8520 0.2072
Dy 0.1480 0.1480 0.7928
Dy 0.2500 0.7500 0.5000
Al 0.1858 0.1858 0.3717
Al 0.8142 0.8142 0.6283
Nd 0.5000 0.5000 0.0000

Results
SG   No. 121
Crystal system   tetragonal

x.
First-principles (GGA-PBE) data for a geometry-optimized NdDy6Al2 structure, as listed in Alexandria via LeMat-Bulk.

Cell lengths 3.7020, 6.5382, 11.5949 Å; angles 75.23, 80.81, 73.55 degrees
Sites, in units of the cell vectors:
Al 0.6503 0.9129 0.7864
Al 0.3497 0.0871 0.2136
Dy 0.0191 0.2941 0.6676
Dy 0.6902 0.4937 0.1260
Dy 0.3098 0.5063 0.8740
Dy 0.3106 0.7934 0.5854
Dy 0.6894 0.2066 0.4146
Dy 0.9809 0.7059 0.3324
Nd 0.0000 0.0000 0.0000

Results
SG   No. 12
Crystal system   monoclinic

Most stable: x

w.
First-principles (GGA-PBE) data for a geometry-optimized Nd4Dy5Al structure, as listed in Alexandria via LeMat-Bulk.

Cell lengths 5.7279, 8.1079, 8.1079 Å; angles 82.83, 69.32, 69.32 degrees
Sites, in units of the cell vectors:
Nd 0.4570 0.3104 0.6897
Nd 0.1467 0.3103 0.3104
Nd 0.7674 0.6897 0.6896
Nd 0.4571 0.6896 0.3103
Al 0.1702 0.0000 0.0000
Dy 0.7827 0.3634 0.9999
Dy 0.1461 0.9999 0.6366
Dy 0.1460 0.6366 0.0001
Dy 0.6545 0.0000 0.0000
Dy 0.7826 0.0001 0.3634

Results
SG   No. 107
Crystal system   tetragonal

x.
First-principles (GGA-PBE) data for a geometry-optimized Nd4Dy5Al structure, as listed in Alexandria via LeMat-Bulk.

Cell lengths 3.5978, 3.5978, 24.2773 Å; angles 90.00, 90.00, 90.00 degrees
Sites, in units of the cell vectors:
Dy 0.5000 0.5000 0.7110
Dy 0.5000 0.5000 0.0757
Dy 0.5000 0.5000 0.5000
Dy 0.5000 0.5000 0.9243
Dy 0.5000 0.5000 0.2890
Al 0.0000 0.0000 0.0000
Nd 0.0000 0.0000 0.1832
Nd 0.0000 0.0000 0.3948
Nd 0.0000 0.0000 0.6052
Nd 0.0000 0.0000 0.8168

Results
SG   No. 123
Crystal system   tetragonal

Most stable: x